First-principles (PBE) data for a relaxed structure of ZnSi2As, as listed in the Alexandria database.

Lattice parameters (Å, degrees): 3.6444 3.6444 5.1936 90.00 90.00 90.00
Closest atoms and distances in Å follow each position.
Atoms (fractional coordinates):
Zn 0.0000 0.0000 0.0000  4 As 2.58, 2 Si 2.60
Si 0.0000 0.0000 0.5000  4 Si 2.58, 2 Zn 2.60
Si 0.5000 0.5000 0.5000  4 Si 2.58, 2 As 2.60
As 0.5000 0.5000 0.0000  4 Zn 2.58, 2 Si 2.60

ΔE_f (raw)   252 meV per atom
E above lowest polymorph   26 meV per atom